Entry 1:
CeHoPuHg: optimized geometry, PBE-GGA.

- density of states at the Fermi level (states/eV/atom) = 3.464
- formation energy from the elements (eV per formula unit) = -0.1
- magnetization (μB per cell) = 35.6

abc: 7.524 7.524 7.524
angles: 90.00 90.00 90.00
Space group F-43m (No. 216)
Unique sites:
1 Ce 0.000 0.000 0.000 (multiplicity 4)
2 Ho 0.000 0.000 0.500 (multiplicity 4)
3 Pu 0.250 0.250 0.750 (multiplicity 4)
4 Hg 0.250 0.250 0.250 (multiplicity 4)

***

Entry 2:
CaVSn3: optimized geometry, PBE-GGA.

- density of states at the Fermi level (states/eV/atom) = 0.377
- formation energy from the elements (eV per formula unit) = -0.4
- magnetization (μB per cell) = 0.0
- offset from the most stable computed form (meV per atom) = 0

abc: 5.166 5.166 5.166
angles: 90.00 90.00 90.00
Space group Pm-3m (No. 221)
Unique sites:
1 Ca 0.000 0.000 0.000 (multiplicity 1)
2 V 0.500 0.500 0.500 (multiplicity 1)
3 Sn 0.000 0.500 0.500 (multiplicity 3)

***

Entry 3:
Zn3Ga5Sn12: optimized geometry, PBE-GGA.

- density of states at the Fermi level (states/eV/atom) = 0.457
- formation energy from the elements (eV per formula unit) = 2.7
- magnetization (μB per cell) = 0.0

abc: 16.437 16.437 16.437
angles: 90.00 90.00 90.00
Space group Ia-3d (No. 230)
Unique sites:
1 Zn 0.000 0.250 0.125 (multiplicity 24)
2 Ga 0.000 0.000 0.000 (multiplicity 16)
3 Ga 0.000 0.250 0.375 (multiplicity 24)
4 Sn 0.022 0.084 0.650 (multiplicity 96)

***

Entry 4:
FeTcIN2: optimized geometry, PBE-GGA.

- density of states at the Fermi level (states/eV/atom) = 1.784
- magnetization (μB per cell) = 3.5
- offset from the most stable computed form (meV per atom) = 0
- E_form (uncorrected) (meV per atom) = 993

abc: 3.858 3.858 5.833
angles: 90.00 90.00 90.00
Space group P4/mmm (No. 123)
Unique sites:
1 Fe 0.000 0.000 0.000 (multiplicity 1)
2 Tc 0.500 0.500 0.500 (multiplicity 1)
3 I 0.500 0.500 0.000 (multiplicity 1)
4 N 0.000 0.500 0.500 (multiplicity 2)